1.
YSbNO2 | Alexandria | PBE-GGA | relaxed; formation energy from raw total energies = -0.58 eV per atom; space-group type = P4/mmm; V = 83.2 Å³/cell; energy = -31.74 eV for the cell shown; N(E_F) = 0.523 states/eV per atom
1.0
-3.7925 -1.0253 -1.7575
-0.8281 -2.6180 3.3141
-1.9398 3.4007 2.2018
Y Sb O N
1 1 2 1
Cartesian
0.0000 0.0000 0.0000 Y
-3.2802 -0.1213 1.8792 Sb
-0.4140 -1.3090 1.6571 O
-1.8962 -0.5126 -0.8788 O
-0.9699 1.7004 1.1009 N

2.
La4PmTm10 | Alexandria | PBE-GGA | relaxed; space-group type = I4/m; V = 503.1 Å³/cell; formation energy from the elements = 0.362 eV/atom; energy = -63.75 eV for the cell shown; N(E_F) = 1.548 states/eV per atom
1.0
-10.2491 2.8174 -1.2384
-4.4967 0.7076 -7.4111
-6.9939 -5.1690 -0.1130
La Pm Tm
4 1 10
Cartesian
-10.9061 -1.6213 -5.8997 La
-16.4867 -0.8634 -4.2253 La
-5.2530 -0.7806 -4.5372 La
-10.8336 -0.0226 -2.8628 La
0.0000 0.0000 0.0000 Pm
-8.3076 -1.5263 -4.0717 Tm
-13.3710 -2.9171 -3.1746 Tm
-4.0377 -1.2342 -0.8998 Tm
-14.4374 -1.3071 -7.4683 Tm
-11.6332 2.1705 -5.9824 Tm
-8.3687 1.2731 -5.5880 Tm
-13.4321 -0.1176 -4.6909 Tm
-10.1065 -3.8145 -2.7801 Tm
-7.3023 -0.3368 -1.2942 Tm
-17.7019 -0.4097 -7.8628 Tm

3.
Ta2FeRe | Alexandria | PBE-GGA | relaxed; space-group type = I-42d; V = 132.9 Å³/cell; formation energy from the elements = 0.580 eV/atom; energy = -84.60 eV for the cell shown; N(E_F) = 0.950 states/eV per atom
1.0
-3.9168 -3.1565 -4.8489
2.9470 -6.1275 1.6083
-2.4256 -5.0878 0.2375
Re Fe Ta
2 2 4
Cartesian
0.0000 0.0000 0.0000 Re
-3.4136 -6.4432 -3.1159 Re
-0.4849 -4.6420 -1.6203 Fe
0.0183 -7.9286 0.1127 Fe
-2.6195 -3.9571 -2.6878 Ta
0.6794 -5.5498 0.3761 Ta
-2.1328 -7.4014 -1.0098 Ta
-2.7178 -11.8352 -2.6848 Ta

4.
Ac2PaNiN4 | Alexandria | PBE-GGA | relaxed; formation energy from raw total energies = -0.47 eV per atom; space-group type = I-42m; V = 125.3 Å³/cell; energy = -60.58 eV for the cell shown; N(E_F) = 0.657 states/eV per atom
1.0
-2.7068 3.8136 4.0488
-3.6776 -1.5511 3.7276
1.9600 1.1308 4.9704
Ac Pa Ni N
2 1 1 4
Cartesian
-0.8588 -0.2101 4.3490 Ac
-2.2122 1.6966 6.3734 Ac
0.0000 0.0000 0.0000 Pa
-1.3534 1.9068 2.0244 Ni
-1.5069 -0.1574 1.6533 N
-1.1495 4.1933 6.9449 N
-0.8648 2.5369 3.9703 N
-3.6099 0.6341 4.2271 N

5.
NiAgAu2 | Alexandria | PBE-GGA | relaxed; E above lowest polymorph = 0.27 eV per formula unit; space-group type = I4/mmm; V = 65.1 Å³/cell; formation energy from the elements = 0.094 eV/atom; energy = -14.81 eV for the cell shown; N(E_F) = 0.563 states/eV per atom
1.0
4.8249 -0.0657 0.0000
1.3850 4.6224 0.0000
-3.1050 -2.2783 2.9074
Ag Au Ni
1 2 1
Cartesian
2.4125 -0.0328 1.4537 Ag
0.0000 0.0000 0.0000 Au
3.1050 2.2783 0.0000 Au
0.6925 2.3112 1.4537 Ni

6.
BRh3Pb | Alexandria | PBE-GGA | relaxed; E above lowest polymorph = 0.35 eV per formula unit; space-group type = P2_1/m; V = 147.2 Å³/cell; formation energy from the elements = -0.154 eV/atom; energy = -66.42 eV for the cell shown; N(E_F) = 0.247 states/eV per atom
1.0
-2.9227 1.5249 1.9609
-2.5912 -5.0647 0.0762
3.5162 -0.6976 5.7835
Pb B Rh
2 2 6
Cartesian
0.2093 -2.3784 2.2137 Pb
-1.1281 -3.6924 4.9935 Pb
-1.8673 -4.4450 0.7237 B
0.9497 -1.6268 6.4827 B
1.6621 -3.4058 5.1780 Rh
-1.1851 0.0455 2.0025 Rh
-0.9584 -5.0096 2.5198 Rh
2.8568 -1.0514 5.1287 Rh
-2.5809 -2.6651 2.0292 Rh
0.0390 -1.0612 4.6880 Rh

7.
Li3In2Ga4 | Alexandria | PBE-GGA | relaxed; space-group type = C2/m; V = 168.7 Å³/cell; formation energy from the elements = -0.176 eV/atom; energy = -24.91 eV for the cell shown; N(E_F) = 0.278 states/eV per atom
1.0
4.1839 0.0000 0.0000
0.0000 6.7042 0.5027
-2.0919 -2.4734 5.8284
Li In Ga
3 2 4
Cartesian
2.0919 0.4140 4.6968 Li
0.0000 3.8167 1.6343 Li
0.0000 0.0000 0.0000 Li
0.0000 -1.6154 3.9807 In
2.0919 5.8461 2.3504 In
2.0919 2.0618 0.8793 Ga
2.0919 3.0121 3.6406 Ga
0.0000 2.1690 5.4518 Ga
0.0000 1.2187 2.6905 Ga

8.
SmReTc2 | Alexandria | PBE-GGA | relaxed; space-group type = Fddd; V = 389.2 Å³/cell; formation energy from the elements = 0.842 eV/atom; energy = -138.12 eV for the cell shown; N(E_F) = 0.785 states/eV per atom
1.0
8.4402 3.6143 0.0000
3.6934 8.4061 0.0000
0.0000 0.0000 6.7562
Sm Re Tc
4 4 8
Cartesian
0.9234 2.1015 4.2212 Sm
6.9902 8.1118 0.8457 Sm
2.7701 6.3046 2.5349 Sm
5.1434 3.9087 5.9105 Sm
6.9902 8.1118 4.2237 Re
5.1434 3.9087 2.5325 Re
0.9234 2.1015 0.8435 Re
2.7701 6.3046 5.9127 Re
0.0000 0.0000 0.0000 Tc
6.0668 6.0102 3.3781 Tc
4.8807 7.2072 5.0682 Tc
7.2529 4.8133 1.6879 Tc
9.0996 9.0163 5.0682 Tc
3.0340 3.0041 1.6879 Tc
1.8467 4.2031 0.0000 Tc
4.2201 1.8072 3.3781 Tc

9.
AcSmRu | Alexandria | PBE-GGA | relaxed; E above lowest polymorph = 0.19 eV per formula unit; space-group type = P3m1; V = 98.7 Å³/cell; formation energy from the elements = -0.131 eV/atom; energy = -18.50 eV for the cell shown; N(E_F) = 0.316 states/eV per atom
1.0
6.4016 0.0000 0.0000
0.0000 4.2194 0.0000
0.0000 -2.1097 3.6541
Ru Ac Sm
1 1 1
Cartesian
2.1989 0.0000 2.4361 Ru
0.6047 0.0000 0.0000 Ac
3.5980 2.1097 1.2180 Sm

10.
In3Ga2Hg4 | Alexandria | PBE-GGA | relaxed; space-group type = C2/c; V = 464.7 Å³/cell; formation energy from the elements = 0.045 eV/atom; energy = -30.14 eV for the cell shown; N(E_F) = 0.361 states/eV per atom
1.0
-0.0189 4.2321 -7.1072
7.7367 -0.1848 -0.1306
-4.0753 -7.1865 -1.8917
In Ga Hg
6 4 8
Cartesian
3.7356 -4.4573 -2.9632 In
-0.0427 -0.7989 -2.6133 In
-0.0931 1.3181 -6.1662 In
3.6852 -2.3403 -6.5161 In
4.1667 3.0742 -5.4010 In
3.5511 0.9731 -1.8368 In
2.2312 -0.2610 -4.4156 Ga
-1.7149 -0.6877 -8.2149 Ga
1.4113 -2.8782 -4.7139 Ga
5.3573 -2.4515 -0.9146 Ga
6.1117 1.5121 -3.6474 Hg
2.0674 -6.8755 -2.0049 Hg
-2.4692 -4.6513 -5.4820 Hg
1.5751 3.7363 -7.1246 Hg
2.9047 0.6719 -6.9982 Hg
-0.9999 -1.6537 -5.6557 Hg
0.7378 -3.8111 -2.1313 Hg
4.6423 -1.4855 -3.4738 Hg

11.
Na2AgGeCl6 | Alexandria | PBE-GGA | relaxed; formation energy from raw total energies = -1.09 eV per atom; space-group type = R3; V = 248.3 Å³/cell; energy = -32.05 eV for the cell shown; N(E_F) = 0.268 states/eV per atom
1.0
6.8616 0.0028 -0.0020
3.4332 5.9445 -0.0017
3.4294 1.9819 6.0866
Na Ag Ge Cl
2 1 1 6
Cartesian
6.8633 3.9644 2.6661 Na
3.4298 1.9824 5.6201 Na
3.4305 1.9812 0.2251 Ag
10.2931 5.9470 3.2012 Ge
5.6669 1.6270 1.6549 Cl
5.4344 6.1669 1.6562 Cl
9.4853 4.1012 1.6540 Cl
8.2303 5.6373 4.6083 Cl
7.6238 1.9448 4.6108 Cl
4.7320 4.3110 4.6117 Cl

12.
CaMg2Cl | Alexandria | PBE-GGA | relaxed; E above lowest polymorph = 0.85 eV per formula unit; formation energy from raw total energies = -0.47 eV per atom; space-group type = R-3m; V = 108.6 Å³/cell; energy = -8.91 eV for the cell shown; N(E_F) = 0.676 states/eV per atom
1.0
9.7383 0.0020 0.0012
9.0608 3.5688 0.0012
9.0608 1.7211 3.1264
Ca Cl Mg
1 1 2
Cartesian
6.9650 1.3230 0.7822 Ca
20.8950 3.9689 2.3466 Cl
0.3431 0.0652 0.0385 Mg
13.5869 2.5808 1.5258 Mg

13.
AcBiS3 | Alexandria | PBE-GGA | relaxed; E above lowest polymorph = 0.00 eV per formula unit; formation energy from raw total energies = -1.23 eV per atom; space-group type = P2_1/c; V = 604.5 Å³/cell; energy = -106.04 eV for the cell shown; N(E_F) = 0.000 states/eV per atom
1.0
-3.2999 1.8706 -6.4320
-6.1985 -3.7280 2.0959
-3.3027 9.2638 4.3886
Ac Bi S
4 4 12
Cartesian
-6.2690 0.7131 -3.1811 Ac
-6.5321 6.6933 3.2336 Ac
-4.9591 2.1058 0.8864 Ac
-7.8420 5.3006 -0.8339 Ac
-8.6824 2.8797 2.6405 Bi
-4.1187 4.5267 -2.5880 Bi
-6.1387 9.3676 -1.1122 Bi
-6.6624 -1.9612 1.1647 Bi
-9.2818 1.5959 -3.4393 S
-3.5193 5.8105 3.4918 S
-3.5151 2.1123 -1.9131 S
-9.2860 5.2941 1.9656 S
-7.8404 2.3822 0.1379 S
-4.9607 5.0242 -0.0854 S
-1.8443 -0.4382 0.5759 S
-10.9568 7.8446 -0.5234 S
-6.2249 3.7016 3.1916 S
-6.5762 3.7048 -3.1391 S
-7.3987 7.8669 0.6707 S
-5.4023 -0.4605 -0.6182 S

14.
SrNCl3 | Alexandria | PBE-GGA | relaxed; E above lowest polymorph = 5.05 eV per formula unit; formation energy from raw total energies = -0.17 eV per atom; space-group type = Pm-3m; V = 191.0 Å³/cell; energy = -16.39 eV for the cell shown; N(E_F) = 2.577 states/eV per atom
1.0
5.7595 0.0000 0.0000
0.0000 5.7595 0.0000
0.0000 0.0000 5.7595
Sr N Cl
1 1 3
Cartesian
0.0000 0.0000 0.0000 Sr
2.8797 2.8797 2.8797 N
0.0000 2.8797 0.0000 Cl
0.0000 0.0000 2.8797 Cl
2.8797 0.0000 0.0000 Cl

15.
RbTcNiCl6 | Alexandria | PBE-GGA | relaxed; formation energy from raw total energies = -0.91 eV per atom; space-group type = P312; V = 257.7 Å³/cell; energy = -36.34 eV for the cell shown; N(E_F) = 0.529 states/eV per atom
1.0
6.3564 0.0000 0.0000
3.1783 5.5048 0.0000
0.0001 -0.0001 7.3652
Rb Tc Ni Cl
1 1 1 6
Cartesian
6.3565 -0.0001 7.3652 Rb
3.1781 1.8349 3.6825 Tc
6.3565 3.6699 3.6823 Ni
1.2120 2.0528 2.3197 Cl
2.3836 0.0231 5.0455 Cl
5.1445 2.0527 5.0455 Cl
2.0064 3.4288 5.0454 Cl
4.3500 3.4287 2.3196 Cl
3.9725 0.0233 2.3197 Cl

16.
AgPCl4 | Alexandria | PBE-GGA | relaxed; E above lowest polymorph = 7.99 eV per formula unit; formation energy from raw total energies = 0.97 eV per atom; space-group type = F-43m; V = 146.4 Å³/cell; energy = -9.86 eV for the cell shown; N(E_F) = 1.197 states/eV per atom
1.0
0.2215 -4.1539 -4.2061
1.3795 -5.5750 1.4183
-4.1425 -4.2178 -0.2128
Ag P Cl
1 1 4
Cartesian
0.0000 0.0000 0.0000 Ag
-1.9061 -10.4600 -2.2504 P
-0.8433 -7.3061 -3.2242 Cl
-3.0202 -7.3380 -1.2322 Cl
-0.2656 -8.0150 -0.4186 Cl
-0.9538 -5.2341 -1.1261 Cl

17.
Hf5FeTe3 | Alexandria | PBE-GGA | relaxed; formation energy from raw total energies = -0.57 eV per atom; space-group type = Pnma; V = 889.4 Å³/cell; energy = -291.31 eV for the cell shown; N(E_F) = 0.802 states/eV per atom
1.0
3.6855 0.0000 0.0000
0.0000 13.3796 0.0000
0.0000 0.0000 18.0366
Hf Fe Te
20 4 12
Cartesian
0.9214 8.5976 4.3761 Hf
2.7641 4.7820 13.6605 Hf
2.7641 1.9078 4.6422 Hf
0.9214 11.4718 13.3944 Hf
0.9214 7.6168 17.2548 Hf
2.7641 5.7628 0.7818 Hf
2.7641 0.9270 9.8001 Hf
0.9214 12.4526 8.2365 Hf
2.7641 11.3665 10.6187 Hf
0.9214 2.0131 7.4179 Hf
0.9214 4.6767 16.4362 Hf
2.7641 8.7029 1.6004 Hf
0.9214 2.9892 11.2442 Hf
2.7641 10.3904 6.7924 Hf
2.7641 9.6790 15.8107 Hf
0.9214 3.7006 2.2259 Hf
0.9214 7.4633 14.2383 Hf
2.7641 5.9163 3.7983 Hf
2.7641 0.7735 12.8166 Hf
0.9214 12.6061 5.2200 Hf
0.9214 7.0010 2.3416 Fe
2.7641 6.3786 15.6950 Fe
2.7641 0.3112 6.6767 Fe
0.9214 13.0684 11.3599 Fe
0.9214 5.8961 11.6977 Te
2.7641 7.4835 6.3389 Te
2.7641 12.5859 15.3572 Te
0.9214 0.7937 2.6794 Te
2.7641 9.2575 12.7224 Te
0.9214 4.1221 5.3142 Te
0.9214 2.5677 14.3325 Te
2.7641 10.8119 3.7041 Te
0.9214 10.5077 18.0289 Te
2.7641 2.8719 0.0077 Te
2.7641 3.8179 9.0260 Te
0.9214 9.5617 9.0106 Te

18.
BaGaBr2 | Alexandria | PBE-GGA | relaxed; E above lowest polymorph = 0.38 eV per formula unit; formation energy from raw total energies = -1.04 eV per atom; space-group type = I-42d; V = 316.7 Å³/cell; energy = -24.92 eV for the cell shown; N(E_F) = 0.982 states/eV per atom
1.0
-0.0570 0.3933 -5.6246
5.6018 -0.6355 -0.1012
1.6401 -9.9933 -3.5417
Ga Ba Br
2 2 4
Cartesian
2.7724 -0.1211 -2.8629 Ga
5.0071 -5.3750 -3.2529 Ga
0.0000 0.0000 0.0000 Ba
2.1777 -4.8606 -6.0146 Ba
1.0751 -2.3353 -4.3666 Br
3.9035 -2.8431 -1.6986 Br
3.3561 -7.5911 -4.8043 Br
6.0350 -7.7016 -7.6655 Br

19.
KCa | Alexandria | PBE-GGA | relaxed; space-group type = P6_3mc; V = 215.5 Å³/cell; formation energy from the elements = 0.210 eV/atom; energy = -5.36 eV for the cell shown; N(E_F) = 1.241 states/eV per atom
1.0
-1.1633 -3.8318 -0.4810
1.0933 2.1929 -3.2036
14.4742 -4.6174 1.7789
K Ca
2 2
Cartesian
6.2802 -1.7099 -1.5661 K
12.7651 -6.0269 0.2308 K
10.0632 -2.9168 -1.1012 Ca
2.0739 -2.6163 -1.0831 Ca

20.
BeBi2PtO6 | Alexandria | PBE-GGA | relaxed; formation energy from raw total energies = -1.12 eV per atom; space-group type = P2_1/c; V = 234.1 Å³/cell; energy = -116.91 eV for the cell shown
1.0
5.4292 0.0000 -0.0376
0.0000 5.7262 0.0000
-0.0090 0.0000 7.5308
Be Bi Pt O
2 4 2 12
Cartesian
2.7146 0.0000 -0.0188 Be
-0.0045 2.8631 3.7654 Be
0.0377 5.4094 1.8140 Bi
2.7478 3.1798 5.5606 Bi
5.3824 0.3168 5.6792 Bi
2.6723 2.5463 1.9326 Bi
2.7101 0.0000 3.7466 Pt
0.0000 2.8631 0.0000 Pt
1.5880 4.1473 0.3890 O
4.2980 4.4420 4.1356 O
3.8322 1.5789 7.1042 O
1.1221 1.2842 3.3576 O
1.6471 3.9699 3.5259 O
4.3572 4.6193 7.2725 O
3.7730 1.7562 3.9673 O
1.0630 1.1069 0.2207 O
4.9813 3.0490 1.9723 O
2.2622 5.5402 5.7565 O
0.4388 2.6772 5.5209 O
3.1579 0.1859 1.7367 O

21.
AcSm4Tm2 | Alexandria | PBE-GGA | relaxed; space-group type = C2/m; V = 246.2 Å³/cell; formation energy from the elements = 0.251 eV/atom; energy = -30.17 eV for the cell shown; N(E_F) = 1.846 states/eV per atom
1.0
6.1511 1.7179 -2.5227
1.4789 6.2129 -2.5227
-5.1993 -5.4043 10.3401
Ac Sm Tm
1 4 2
Cartesian
0.0000 0.0000 0.0000 Ac
-0.0020 -0.0021 3.5149 Sm
2.4327 2.5286 1.7798 Sm
0.7394 3.1065 -1.2614 Sm
3.0756 0.8590 -1.2614 Sm
-1.7171 -1.7848 6.2073 Tm
4.1478 4.3114 -0.9127 Tm

22.
K2TaMn | Alexandria | PBE-GGA | relaxed; E above lowest polymorph = 2.58 eV per formula unit; space-group type = P4/mmm; V = 107.8 Å³/cell; formation energy from the elements = 1.379 eV/atom; energy = -17.70 eV for the cell shown; N(E_F) = 0.804 states/eV per atom
1.0
-1.8940 1.1146 -1.9508
0.9490 -1.9159 -2.0160
-8.6494 -8.1942 3.7156
K Mn Ta
2 1 1
Cartesian
-0.0191 -0.0181 0.0082 K
-4.3056 -4.0790 1.8496 K
-2.6349 -2.4492 -1.0545 Mn
-6.9595 -6.5462 0.8033 Ta